Below is crystalline Sm2Cr2O5 at its relaxed geometry, with properties calculated at the GGA+U level.

Cell lengths 8.769, 8.769, 8.769 Å; angles 143.49, 142.32, 53.48 degrees
Last column: magnetic moment on the atom in μB.
Positions (direct):
O 0.708 0.218 0.990  -0.01
O 0.272 0.782 0.990  -0.01
O 0.723 0.668 0.143  -0.02
O 0.728 0.718 0.510  -0.01
O 0.622 0.354 0.476  0.06
O 0.277 0.420 0.945  -0.02
O 0.025 0.168 0.945  -0.02
O 0.975 0.920 0.143  -0.02
O 0.292 0.282 0.510  -0.01
O 0.378 0.854 0.732  0.06
Cr 0.760 0.741 0.001  4.08
Cr 0.000 0.007 0.007  3.12
Cr 0.240 0.241 0.982  4.08
Cr 0.500 0.507 0.007  3.12
Sm 0.120 0.608 0.486  0.06
Sm 0.880 0.366 0.488  0.06
Sm 0.621 0.108 0.488  0.06
Sm 0.379 0.866 0.486  0.06

Properties
N(E_F) = 0.2124 states/eV/atom
E = -142.7 eV/cell